(1)
Here is a relaxed structure of KTaTe2I from Alexandria. Energies are from PBE.

Structure (CIF):
```
data_KTaTe2I
_space_group_name_H-M_alt 'P 1'
_space_group_IT_number 1
_space_group_name_Hall 'P 1'
_cell_length_a 5.8473
_cell_length_b 5.8473
_cell_length_c 5.7833
_cell_angle_alpha 90.00
_cell_angle_beta 90.00
_cell_angle_gamma 90.00
loop_
_atom_site_label
_atom_site_fract_x
_atom_site_fract_y
_atom_site_fract_z
Te1 0.0000 0.5000 0.0000
Te2 0.5000 0.0000 0.0000
Ta1 0.5000 0.5000 0.5000
I1 0.0000 0.0000 0.5000
K1 0.0000 0.0000 0.0000
```

Computed properties:
Calculated total energy = -2.452 eV per atom
SG = P4/mmm, No. 123
Polymorph energy (0 for the lowest one) = 2048 meV/atom

(2)
Here is a relaxed structure of Ac8Sn3Ru2 from Alexandria. Energies are from PBE.

Structure (CIF):
```
data_Ac8Sn3Ru2
_space_group_name_H-M_alt 'P 1'
_space_group_IT_number 1
_space_group_name_Hall 'P 1'
_cell_length_a 7.4528
_cell_length_b 7.4528
_cell_length_c 11.1410
_cell_angle_alpha 70.46
_cell_angle_beta 70.46
_cell_angle_gamma 60.00
loop_
_atom_site_label
_atom_site_fract_x
_atom_site_fract_y
_atom_site_fract_z
Ac1 0.7838 0.2674 0.6814
Ac2 0.2674 0.7838 0.6814
Ac3 0.2162 0.7326 0.3186
Ac4 0.3043 0.3043 0.0872
Ac5 0.2674 0.2674 0.6814
Ac6 0.7326 0.7326 0.3186
Ac7 0.7326 0.2162 0.3186
Ac8 0.6957 0.6957 0.9128
Sn1 0.8016 0.8016 0.5953
Sn2 0.1984 0.1984 0.4047
Sn3 0.0000 0.0000 0.0000
Ru1 0.6103 0.6103 0.1691
Ru2 0.3897 0.3897 0.8309
```

Computed properties:
Calculated total energy = -5.016 eV per atom
SG = R-3m, No. 166
Calculated formation energy = -1.78 eV/f.u.

(3)
Here is a relaxed structure of TlGe2Pd2 from Alexandria. Energies are from PBE.

Structure (CIF):
```
data_TlGe2Pd2
_space_group_name_H-M_alt 'P 1'
_space_group_IT_number 1
_space_group_name_Hall 'P 1'
_cell_length_a 7.7692
_cell_length_b 7.7692
_cell_length_c 3.0872
_cell_angle_alpha 90.00
_cell_angle_beta 90.00
_cell_angle_gamma 90.00
loop_
_atom_site_label
_atom_site_fract_x
_atom_site_fract_y
_atom_site_fract_z
Ge1 0.8486 0.3486 0.5000
Ge2 0.1514 0.6514 0.5000
Ge3 0.3486 0.1514 0.5000
Ge4 0.6514 0.8486 0.5000
Pd1 0.3659 0.8659 0.0000
Pd2 0.6341 0.1341 0.0000
Pd3 0.1341 0.3659 0.0000
Pd4 0.8659 0.6341 0.0000
Tl1 0.5000 0.5000 0.0000
Tl2 0.0000 0.0000 0.0000
```

Computed properties:
Calculated total energy = -4.553 eV per atom
SG = P4/mbm, No. 127
Calculated formation energy = -0.78 eV/f.u.
Polymorph energy (0 for the lowest one) = 83 meV/atom

| no. | theoretical density (g/cm3) | D(E_F) (states/eV per atom) |
| --- | --- | --- |
| 1 | 5.1 | 2.89 |
| 2 | 8.0 | 0.84 |
| 3 | 10.0 | 0.51 |